Material: Sr6SeI3N2
Method: DFT, PBE-GGA
State: optimized geometry

Cell lengths 7.2713, 12.5866, 8.1969 Å; angles 90.00, 107.26, 90.00 degrees
Closest atoms and distances in Å follow each position.
Space group C2/m (No. 12)
Unique sites:
Sr  0.1902  0.0000  0.1792  2 N 2.70
Sr  0.2459  0.3148  0.1819  2 N 2.70-2.71
Se  0.0000  0.5000  0.0000  6 Sr 3.03-3.04
I  0.0000  0.0000  0.5000  6 Sr 3.31-3.58
I  0.0000  0.3407  0.5000  6 Sr 3.34-3.59
N  0.0000  0.1671  0.0000  6 Sr 2.70-2.71

Formation energy (no corrections) ... -1235 meV/atom
Calculated density ... 4.7 g cm⁻³